1.
## ErAl7Au3 (PBE)

Data for crystalline ErAl7Au3 at its relaxed geometry.

abc: 8.442 8.442 8.442
angles: 57.20 57.20 57.20
Atoms (fractional coordinates):
Au  0.074  0.426  0.750
Al  0.833  0.430  0.647
Er  0.500  0.500  0.500
Al  0.647  0.833  0.430
Au  0.750  0.074  0.426
Al  0.167  0.570  0.353
Al  0.430  0.647  0.833
Al  0.853  0.070  0.667
Al  0.333  0.147  0.930
Au  0.250  0.926  0.574
Au  0.574  0.250  0.926
Au  0.926  0.574  0.250
Er  0.000  0.000  0.000
Al  0.930  0.333  0.147
Al  0.667  0.853  0.070
Au  0.426  0.750  0.074
Al  0.353  0.167  0.570
Al  0.070  0.667  0.853
Al  0.147  0.930  0.333
Al  0.750  0.750  0.750
Al  0.250  0.250  0.250
Al  0.570  0.353  0.167

Calculated values
ρ: 7.90 g/cm3
uncorrected energy: -4.20 eV/atom
spin magnetization: 0.0 μB per cell
energy of formation from the pure elements: -0.505 eV/atom

2.
## ErAlAu (PBE)

Data for crystalline ErAlAu at its relaxed geometry.

abc: 4.640 4.640 4.640
angles: 60.00 60.00 60.00
Atoms (fractional coordinates):
Au  0.250  0.250  0.250
Er  0.000  0.000  0.000
Al  0.500  0.500  0.500

Calculated values
ρ: 9.20 g/cm3
uncorrected energy: -4.46 eV/atom
spin magnetization: 0.0 μB per cell
energy of formation from the pure elements: -0.601 eV/atom

3.
## ErAl4Au2 (PBE)

Data for crystalline ErAl4Au2 at its relaxed geometry.

abc: 4.317 6.909 17.228
angles: 90.00 90.00 90.00
Atoms (fractional coordinates):
Al  0.750  0.525  0.567
Al  0.750  0.169  0.816
Al  0.250  0.669  0.684
Au  0.750  0.037  0.217
Au  0.750  0.248  0.464
Au  0.250  0.752  0.536
Al  0.250  0.265  0.689
Al  0.250  0.831  0.184
Al  0.750  0.735  0.311
Er  0.750  0.517  0.141
Al  0.750  0.975  0.067
Au  0.250  0.748  0.036
Al  0.750  0.765  0.811
Al  0.250  0.475  0.433
Al  0.750  0.640  0.965
Au  0.750  0.252  0.964
Er  0.750  0.983  0.641
Al  0.250  0.025  0.933
Al  0.250  0.140  0.535
Al  0.750  0.860  0.465
Au  0.250  0.963  0.783
Al  0.250  0.360  0.035
Er  0.250  0.017  0.359
Al  0.250  0.235  0.189
Er  0.250  0.483  0.859
Al  0.750  0.331  0.316
Au  0.750  0.463  0.717
Au  0.250  0.537  0.283

Calculated values
ρ: 8.65 g/cm3
energy relative to the lowest polymorph listed for this composition: 0 meV per atom
uncorrected energy: -4.29 eV/atom
spin magnetization: 0.0 μB per cell
energy of formation from the pure elements: -0.566 eV/atom

4.
## Er2Al6Au3 (PBE)

Data for crystalline Er2Al6Au3 at its relaxed geometry.

abc: 4.111 7.816 7.816
angles: 120.00 90.00 90.00
Atoms (fractional coordinates):
Al  0.000  0.000  0.808
Au  0.500  0.000  0.623
Al  0.000  0.808  0.000
Al  0.000  0.192  0.192
Er  0.000  0.667  0.333
Au  0.500  0.377  0.377
Er  0.000  0.333  0.667
Au  0.500  0.623  0.000
Al  0.500  0.700  0.700
Al  0.500  0.000  0.300
Al  0.500  0.300  0.000

Calculated values
ρ: 8.30 g/cm3
uncorrected energy: -4.34 eV/atom
spin magnetization: 0.0 μB per cell
energy of formation from the pure elements: -0.574 eV/atom

In states/eV per atom, the N(E_F) values for the records above are, in order, 0.18, 1.71, 0.28, 0.30.